--- one ---
V3TcSe | PBE-GGA | relaxed

Unit cell a=4.434 b=4.434 c=4.434 alpha=90.00 beta=90.00 gamma=90.00
Space group Pm-3m (No. 221)
Inequivalent atoms, fractional coordinates:
V  0.000  0.000  0.500 [3 per cell]
Tc  0.500  0.500  0.500 [1 per cell]
Se  0.000  0.000  0.000 [1 per cell]



--- two ---
V3TcSe | PBE-GGA | relaxed

Unit cell a=4.579 b=4.579 c=4.579 alpha=90.00 beta=90.00 gamma=90.00
Space group Pm-3m (No. 221)
Inequivalent atoms, fractional coordinates:
V  0.000  0.000  0.500 [3 per cell]
Tc  0.000  0.000  0.000 [1 per cell]
Se  0.500  0.500  0.500 [1 per cell]



Which one sits at the top of the stability order? one does.